Ac12Ni3H5: optimized geometry, PBE.

abc: 14.3746 14.3746 14.3746
angles: 109.47 109.47 109.47
Fractional coordinates of all 80 atoms:
1 Ac 0.0290 0.2179 0.1200
2 Ac 0.0290 0.3111 0.9090
3 Ac 0.0910 0.6200 0.4021
4 Ac 0.0910 0.9710 0.6889
5 Ac 0.0979 0.7179 0.6889
6 Ac 0.0979 0.8800 0.4090
7 Ac 0.1200 0.0290 0.2179
8 Ac 0.1200 0.5910 0.9021
9 Ac 0.1889 0.2179 0.5979
10 Ac 0.1889 0.4710 0.5910
11 Ac 0.2179 0.1200 0.0290
12 Ac 0.2179 0.5979 0.1889
13 Ac 0.2821 0.3111 0.9021
14 Ac 0.2821 0.4710 0.3800
15 Ac 0.3111 0.9021 0.2821
16 Ac 0.3111 0.9090 0.0290
17 Ac 0.3800 0.2821 0.4710
18 Ac 0.3800 0.5979 0.9090
19 Ac 0.4021 0.0910 0.6200
20 Ac 0.4021 0.8111 0.7821
21 Ac 0.4090 0.0979 0.8800
22 Ac 0.4090 0.8111 0.5290
23 Ac 0.4710 0.3800 0.2821
24 Ac 0.4710 0.5910 0.1889
25 Ac 0.5290 0.4090 0.8111
26 Ac 0.5290 0.6200 0.7179
27 Ac 0.5910 0.1889 0.4710
28 Ac 0.5910 0.9021 0.1200
29 Ac 0.5979 0.1889 0.2179
30 Ac 0.5979 0.9090 0.3800
31 Ac 0.6200 0.4021 0.0910
32 Ac 0.6200 0.7179 0.5290
33 Ac 0.6889 0.0910 0.9710
34 Ac 0.6889 0.0979 0.7179
35 Ac 0.7179 0.5290 0.6200
36 Ac 0.7179 0.6889 0.0979
37 Ac 0.7821 0.4021 0.8111
38 Ac 0.7821 0.8800 0.9710
39 Ac 0.8111 0.5290 0.4090
40 Ac 0.8111 0.7821 0.4021
41 Ac 0.8800 0.4090 0.0979
42 Ac 0.8800 0.9710 0.7821
43 Ac 0.9021 0.1200 0.5910
44 Ac 0.9021 0.2821 0.3111
45 Ac 0.9090 0.0290 0.3111
46 Ac 0.9090 0.3800 0.5979
47 Ac 0.9710 0.6889 0.0910
48 Ac 0.9710 0.7821 0.8800
49 Ni 0.1250 0.2500 0.3750
50 Ni 0.1250 0.3750 0.7500
51 Ni 0.2500 0.3750 0.1250
52 Ni 0.2500 0.8750 0.6250
53 Ni 0.3750 0.1250 0.2500
54 Ni 0.3750 0.7500 0.1250
55 Ni 0.6250 0.2500 0.8750
56 Ni 0.6250 0.8750 0.7500
57 Ni 0.7500 0.1250 0.3750
58 Ni 0.7500 0.6250 0.8750
59 Ni 0.8750 0.6250 0.2500
60 Ni 0.8750 0.7500 0.6250
61 H 0.0000 0.0000 0.0000
62 H 0.0000 0.0000 0.5000
63 H 0.0000 0.5000 0.0000
64 H 0.0000 0.5000 0.5000
65 H 0.1250 0.7500 0.8750
66 H 0.1250 0.8750 0.2500
67 H 0.2500 0.1250 0.8750
68 H 0.2500 0.6250 0.3750
69 H 0.3750 0.2500 0.6250
70 H 0.3750 0.6250 0.7500
71 H 0.5000 0.0000 0.0000
72 H 0.5000 0.0000 0.5000
73 H 0.5000 0.5000 0.0000
74 H 0.5000 0.5000 0.5000
75 H 0.6250 0.3750 0.2500
76 H 0.6250 0.7500 0.3750
77 H 0.7500 0.3750 0.6250
78 H 0.7500 0.8750 0.1250
79 H 0.8750 0.1250 0.7500
80 H 0.8750 0.2500 0.1250

Results
Space-group type: Ia-3d
DFT total energy: -4.31 eV per atom